(1)
PBE DyYGe2Pd, relaxed; space group = C2/m; total energy = -6.035 eV per atom; total magnetic moment = 0.64 μB/cell
1.0
-1.955 5.163 -1.508
-2.770 4.240 2.665
10.153 -0.482 1.877
Y Pd Ge Dy
2 2 4 2
Cartesian
0.128 7.466 1.676
5.300 1.456 1.357
0.257 2.517 0.607
5.170 6.405 2.427
7.800 2.938 2.174
1.426 4.754 1.330
-2.373 5.984 0.860
4.001 4.167 1.703
8.372 -0.313 1.567
-2.944 9.234 1.467



(2)
PBE TbInCu, relaxed; space group = P-62m; total energy = -3.674 eV per atom; total magnetic moment = 0.00 μB/cell
1.0
8.323 0.000 0.000
-4.162 7.208 0.000
0.000 0.000 3.324
Tb Cu In
3 3 3
Cartesian
2.913 5.046 1.662
2.497 0.000 1.662
-1.248 2.162 1.662
-2.661 4.609 0.000
5.322 0.000 0.000
1.501 2.599 0.000
0.000 0.000 0.000
4.162 2.403 1.662
0.000 4.805 1.662